Here is a relaxed structure of MoPtSe from Alexandria via LeMat-Bulk. Energies are from PBE.

formation energy (no corrections)	266	meV/atom
space-group type	F-43m, No. 216
V	17.6	Å³/atom
mass density	11.667	Mg/m³
energy above the lowest structure with this stoichiometry	0.341	eV/atom

Lattice parameters (Å, degrees): 5.9499 5.9499 5.9499 90.00 90.00 90.00
Closest atoms and distances in Å follow each position.
Element x y z (fractional)
Mo  0.0000  0.0000  0.0000  4 Se 2.58
Mo  0.0000  0.5000  0.5000  4 Se 2.58
Mo  0.5000  0.0000  0.5000  4 Se 2.58
Mo  0.5000  0.5000  0.0000  4 Se 2.58
Pt  0.0000  0.0000  0.5000  4 Se 2.58
Pt  0.0000  0.5000  0.0000  4 Se 2.58
Pt  0.5000  0.0000  0.0000  4 Se 2.58
Pt  0.5000  0.5000  0.5000  4 Se 2.58
Se  0.2500  0.2500  0.2500  4 Mo 2.58, 4 Pt 2.58
Se  0.2500  0.7500  0.7500  4 Mo 2.58, 4 Pt 2.58
Se  0.7500  0.2500  0.7500  4 Mo 2.58, 4 Pt 2.58
Se  0.7500  0.7500  0.2500  4 Mo 2.58, 4 Pt 2.58